# PBE InTc3Mo, relaxed
data_InTc3Mo
_symmetry_space_group_name_H-M 'P m -3 m'
_symmetry_Int_Tables_number 221
_symmetry_space_group_name_Hall '-P 4 2 3'
_cell_length_a 4.6996
_cell_length_b 4.6996
_cell_length_c 4.6996
_cell_angle_alpha 90.00
_cell_angle_beta 90.00
_cell_angle_gamma 90.00
loop_
_atom_site_label
_atom_site_fract_x
_atom_site_fract_y
_atom_site_fract_z
In1 0.0000 0.0000 0.0000
Tc1 0.0000 0.5000 0.5000
Mo1 0.5000 0.5000 0.5000
# energy relative to the lowest polymorph listed for this composition: 0.00 kcal/mol of atoms

---

# PBE InTcMo2, relaxed
data_InTcMo2
_symmetry_space_group_name_H-M 'P 4/m m m'
_symmetry_Int_Tables_number 123
_symmetry_space_group_name_Hall '-P 4 2'
_cell_length_a 2.9188
_cell_length_b 2.9188
_cell_length_c 7.9241
_cell_angle_alpha 90.00
_cell_angle_beta 90.00
_cell_angle_gamma 90.00
loop_
_atom_site_label
_atom_site_fract_x
_atom_site_fract_y
_atom_site_fract_z
In1 0.0000 0.0000 0.0000
Tc1 0.0000 0.0000 0.5000
Mo1 0.5000 0.5000 0.2810
# electronic total energy: -8.476 eV per atom

---

# PBE InTc2Mo, relaxed
data_InTc2Mo
_symmetry_space_group_name_H-M 'P 4 m m'
_symmetry_Int_Tables_number 99
_cell_length_a 2.8704
_cell_length_b 2.8704
_cell_length_c 7.9702
_cell_angle_alpha 90.00
_cell_angle_beta 90.00
_cell_angle_gamma 90.00
loop_
_symmetry_equiv_pos_as_xyz
'x,y,z'
'-y,x,z'
'-x,-y,z'
'y,-x,z'
'-x,y,z'
'y,x,z'
'x,-y,z'
'-y,-x,z'
loop_
_atom_site_label
_atom_site_fract_x
_atom_site_fract_y
_atom_site_fract_z
In1 0.0000 0.0000 0.0000
Tc1 0.0000 0.0000 0.5195
Tc2 0.5000 0.5000 0.7312
Mo1 0.5000 0.5000 0.2810
# electronic total energy: -8.398 eV per atom

---

Number 1: total moment 2.06 μB per formula unit, volume 20.759 Å³ per atom, density 8.1 g cm⁻³. Number 2: total moment 0.00 μB per formula unit, volume 16.877 Å³ per atom, density 10.0 g cm⁻³. Number 3: total moment 0.00 μB per formula unit, volume 16.417 Å³ per atom, density 10.3 g cm⁻³.